Record 1
Here is crystalline FeIr5 at its relaxed geometry from the Alexandria database. Energies are from PBE.

a b c (Å): 2.7317 2.7317 11.3517
angles (deg): 90.00 90.00 90.00
With the nearest neighbours (Å) after each atom.
Space group P4/mmm (No. 123)
Symmetry-distinct sites (fractional):
Fe (0.0000, 0.0000, 0.0000) (multiplicity 1)  8 Ir 2.64, 4 Fe 2.73
Ir (0.0000, 0.0000, 0.3294) (multiplicity 2)  12 Ir 2.73-2.74
Ir (0.5000, 0.5000, 0.1582) (multiplicity 2)  4 Fe 2.64, 8 Ir 2.73-2.74
Ir (0.5000, 0.5000, 0.5000) (multiplicity 1)  12 Ir 2.73-2.74

Values from the calculation:
ΔE_f (eV per atom): -0.01
Crystal system: tetragonal

Record 2
Here is crystalline ScCdCoNi at its relaxed geometry from the Alexandria database. Energies are from PBE.

a b c (Å): 6.2390 6.2390 6.2390
angles (deg): 90.00 90.00 90.00
With the nearest neighbours (Å) after each atom.
Space group F-43m (No. 216)
Symmetry-distinct sites (fractional):
Sc (0.0000, 0.0000, 0.0000) (multiplicity 4)  4 Co 2.70, 4 Ni 2.70
Cd (0.0000, 0.0000, 0.5000) (multiplicity 4)  4 Co 2.70, 4 Ni 2.70
Co (0.2500, 0.2500, 0.2500) (multiplicity 4)  4 Cd 2.70, 4 Sc 2.70
Ni (0.2500, 0.2500, 0.7500) (multiplicity 4)  4 Cd 2.70, 4 Sc 2.70

Values from the calculation:
ΔE_f (eV per atom): -0.16
Crystal system: cubic

Record 3
Here is crystalline LaDyYHo at its relaxed geometry from the Alexandria database. Energies are from PBE.

a b c (Å): 8.1196 8.1196 8.1196
angles (deg): 90.00 90.00 90.00
With the nearest neighbours (Å) after each atom.
Space group F-43m (No. 216)
Symmetry-distinct sites (fractional):
La (0.0000, 0.0000, 0.0000) (multiplicity 4)  4 Ho 3.52, 4 Y 3.52
Dy (0.0000, 0.0000, 0.5000) (multiplicity 4)  4 Ho 3.52, 4 Y 3.52
Y (0.2500, 0.2500, 0.7500) (multiplicity 4)  4 La 3.52, 4 Dy 3.52
Ho (0.2500, 0.2500, 0.2500) (multiplicity 4)  4 La 3.52, 4 Dy 3.52

Values from the calculation:
ΔE_f (eV per atom): 0.11
Crystal system: cubic
Energy above the lowest structure with this stoichiometry (meV per atom): 87

Record 4
Here is crystalline SrAcZnSn at its relaxed geometry from the Alexandria database. Energies are from PBE.

a b c (Å): 8.0135 8.0135 8.0135
angles (deg): 90.00 90.00 90.00
With the nearest neighbours (Å) after each atom.
Space group F-43m (No. 216)
Symmetry-distinct sites (fractional):
Sr (0.0000, 0.0000, 0.0000) (multiplicity 4)  4 Zn 3.47, 4 Sn 3.47
Ac (0.0000, 0.0000, 0.5000) (multiplicity 4)  4 Sn 3.47, 4 Zn 3.47
Zn (0.2500, 0.2500, 0.2500) (multiplicity 4)  4 Ac 3.47, 4 Sr 3.47
Sn (0.2500, 0.2500, 0.7500) (multiplicity 4)  4 Ac 3.47, 4 Sr 3.47

Values from the calculation:
ΔE_f (eV per atom): -0.44
Crystal system: cubic

> What is the ΔE_f in the second record?

-0.16 eV per atom